Computed, not measured: a relaxed structure of CuPdO2 at the GGA-PBE level of DFT.

Computed properties:
Space-group type ... I-42d (122)
Uncorrected energy ... -39.7 eV/cell
DOS(E_F) ... 2.03 states/eV/f.u.
Energy relative to the elements, uncorrected ... -0.65 eV/f.u.

Cell lengths 5.363, 5.363, 4.959 Å; angles 57.27, 57.27, 90.00 degrees
Positions (direct):
Cu 0.500 0.500 0.000
O 0.604 0.125 0.250
Pd 0.000 0.000 0.000
O 0.875 0.854 0.750
O 0.146 0.625 0.250
O 0.375 0.396 0.750
Cu 0.250 0.750 0.500
Pd 0.750 0.250 0.500



Computed, not measured: a relaxed structure of CeLuCoOs at the GGA-PBE level of DFT.

Computed properties:
Space-group type ... F-43m (216)
Uncorrected energy ... -29.7 eV/cell
Formation energy ... -216 meV per atom
DOS(E_F) ... 1.85 states/eV/f.u.

Cell lengths 4.771, 4.771, 4.771 Å; angles 60.00, 60.00, 60.00 degrees
Each line ends with the local moment (μB).
Positions (direct):
Lu 0.500 0.500 0.500  0.07
Os 0.250 0.250 0.250  -0.10
Co 0.750 0.750 0.750  -0.84
Ce 0.000 0.000 0.000  0.26



Computed, not measured: a relaxed structure of Mn2CuNiSb2 at the GGA-PBE level of DFT.

Computed properties:
Space-group type ... R3m (160)
Uncorrected energy ... -36.8 eV/cell
DOS(E_F) ... 2.25 states/eV/f.u.
Energy relative to the elements, uncorrected ... -0.35 eV/f.u.

Cell lengths 7.347, 7.347, 7.347 Å; angles 33.67, 33.67, 33.67 degrees
Each line ends with the local moment (μB).
Positions (direct):
Cu 0.875 0.875 0.875  0.12
Mn 0.747 0.747 0.747  3.87
Sb 0.498 0.498 0.498  0.00
Mn 0.253 0.253 0.253  3.94
Ni 0.374 0.374 0.374  0.40
Sb 0.003 0.003 0.003  -0.01